1.
Computed, not measured: a relaxed ZnRe2Hg crystal at the GGA-PBEsol level of DFT.

Output
Distance to the lowest polymorph of the same formula: 85 meV per atom
Space-group type: Cmmm
Final energy: -26.25 eV per cell
ΔH_f (0 K): 0.64 eV per atom

abc: 2.710 2.710 9.227
angles: 90.00 90.00 112.73
Atoms (fractional coordinates):
1 Zn 0.000 0.000 0.000
2 Re 0.500 0.500 0.233
3 Re 0.500 0.500 0.767
4 Hg 0.000 0.000 0.500

---

2.
Computed, not measured: a relaxed InMo2Pt crystal at the GGA-PBEsol level of DFT.

Output
Space-group type: P4/mmm
Final energy: -33.08 eV per cell
ΔH_f (0 K): 0.10 eV per atom

abc: 2.778 2.778 8.372
angles: 90.00 90.00 90.00
Atoms (fractional coordinates):
1 In 0.000 0.000 0.000
2 Mo 0.500 0.500 0.264
3 Mo 0.500 0.500 0.736
4 Pt 0.000 0.000 0.500

---

3.
Computed, not measured: a relaxed Tl5Cd crystal at the GGA-PBEsol level of DFT.

Output
Distance to the lowest polymorph of the same formula: 9 meV per atom
Space-group type: P-62m
Final energy: -14.12 eV per cell
ΔH_f (0 K): 0.04 eV per atom

abc: 5.919 5.919 5.373
angles: 90.00 90.00 120.00
Atoms (fractional coordinates):
1 Tl 0.000 0.673 0.000
2 Tl 0.327 0.327 0.000
3 Tl 0.333 0.667 0.500
4 Tl 0.667 0.333 0.500
5 Tl 0.673 0.000 0.000
6 Cd 0.000 0.000 0.500

---

4.
Computed, not measured: a relaxed HgPbAu2 crystal at the GGA-PBEsol level of DFT.

Output
Distance to the lowest polymorph of the same formula: 40 meV per atom
Space-group type: Pmm2
Final energy: -12.31 eV per cell
ΔH_f (0 K): 0.03 eV per atom

abc: 3.281 3.616 7.209
angles: 90.00 90.00 90.00
Atoms (fractional coordinates):
1 Hg 0.000 0.000 0.000
2 Pb 0.500 0.500 0.323
3 Au 0.000 0.000 0.572
4 Au 0.500 0.500 0.774

---

5.
Computed, not measured: a relaxed Zn3Au crystal at the GGA-PBEsol level of DFT.

Output
Space-group type: Pmmm
Final energy: -9.21 eV per cell
ΔH_f (0 K): -0.13 eV per atom

abc: 3.196 3.460 5.367
angles: 90.00 90.00 90.00
Atoms (fractional coordinates):
1 Zn 0.000 0.000 0.000
2 Zn 0.500 0.500 0.244
3 Zn 0.500 0.500 0.756
4 Au 0.000 0.000 0.500

---

6.
Computed, not measured: a relaxed Sn3Bi crystal at the GGA-PBEsol level of DFT.

Output
Space-group type: Fm-3m
Final energy: -16.88 eV per cell
ΔH_f (0 K): 0.05 eV per atom

abc: 5.349 5.349 5.349
angles: 60.00 60.00 60.00
Atoms (fractional coordinates):
1 Sn 0.000 0.000 0.000
2 Sn 0.250 0.250 0.250
3 Sn 0.750 0.750 0.750
4 Bi 0.500 0.500 0.500

---

7.
Computed, not measured: a relaxed Li3LaGa crystal at the GGA-PBEsol level of DFT.

Output
Space-group type: Pm-3m
Final energy: -14.51 eV per cell
ΔH_f (0 K): 0.01 eV per atom

abc: 4.777 4.777 4.777
angles: 90.00 90.00 90.00
Atoms (fractional coordinates):
1 Li 0.000 0.000 0.500
2 Li 0.000 0.500 0.000
3 Li 0.500 0.000 0.000
4 La 0.500 0.500 0.500
5 Ga 0.000 0.000 0.000

---

8.
Computed, not measured: a relaxed NiMoC2Br crystal at the GGA-PBEsol level of DFT.

Output
Space-group type: P4/mmm
ΔE_f (raw): 3.24 eV per atom
Final energy: -22.88 eV per cell

abc: 3.840 3.840 4.773
angles: 90.00 90.00 90.00
Atoms (fractional coordinates):
1 Ni 0.000 0.000 0.000
2 Mo 0.500 0.500 0.000
3 C 0.000 0.500 0.500
4 C 0.500 0.000 0.500
5 Br 0.500 0.500 0.500

---

9.
Computed, not measured: a relaxed Al2Mo crystal at the GGA-PBEsol level of DFT.

Output
Space-group type: Immm
Final energy: -19.70 eV per cell
ΔH_f (0 K): 0.08 eV per atom

abc: 4.629 4.629 4.629
angles: 146.27 120.12 70.52
Atoms (fractional coordinates):
1 Al 0.185 0.185 0.000
2 Al 0.815 0.815 0.000
3 Mo 0.500 0.000 0.500

---

10.
Computed, not measured: a relaxed SbBr2Cl crystal at the GGA-PBEsol level of DFT.

Output
Distance to the lowest polymorph of the same formula: 520 meV per atom
Space-group type: P4/mmm
ΔE_f (raw): -0.11 eV per atom
Final energy: -10.76 eV per cell

abc: 3.723 3.723 6.678
angles: 90.00 90.00 90.00
Atoms (fractional coordinates):
1 Sb 0.000 0.000 0.000
2 Br 0.500 0.500 0.238
3 Br 0.500 0.500 0.762
4 Cl 0.000 0.000 0.500

---

11.
Computed, not measured: a relaxed TiHAu2N crystal at the GGA-PBEsol level of DFT.

Output
Space-group type: P4/mmm
Final energy: -25.33 eV per cell

abc: 3.625 3.625 5.016
angles: 90.00 90.00 90.00
Atoms (fractional coordinates):
1 Ti 0.000 0.000 0.000
2 H 0.500 0.500 0.500
3 Au 0.000 0.500 0.500
4 Au 0.500 0.000 0.500
5 N 0.500 0.500 0.000

---

12.
Computed, not measured: a relaxed Mg3Cd crystal at the GGA-PBEsol level of DFT.

Output
Space-group type: Cmmm
Final energy: -6.54 eV per cell
ΔH_f (0 K): -0.05 eV per atom

abc: 5.366 5.366 3.194
angles: 90.00 90.00 109.36
Atoms (fractional coordinates):
1 Mg 0.000 0.000 0.000
2 Mg 0.000 0.500 0.500
3 Mg 0.500 0.000 0.500
4 Cd 0.500 0.500 0.000